Entry from Alexandria via LeMat-Bulk: CdTePd after structural relaxation (PBE).

polymorph energy (0 for the lowest one) = 199 meV/atom
size of the total moment = 0.000 Bohr magnetons per cell
E_form (uncorrected) = -140 meV per atom
uncorrected energy = -3.22 eV/atom

a b c (Å): 13.2606 3.2222 3.2222
angles (deg): 89.75 90.00 90.00
With the nearest neighbours (Å) after each atom.
Fractional positions:
Cd 0.1283 0.0000 0.0000  4 Pd 2.84-2.85, 1 Te 3.00
Cd 0.8717 0.0000 0.0000  4 Pd 2.84-2.85, 1 Te 3.00
Te 0.3538 0.0423 0.0423  4 Pd 2.93-3.06, 1 Cd 3.00, 4 Te 3.22
Te 0.6462 0.0423 0.0423  4 Pd 2.93-3.06, 1 Cd 3.00, 4 Te 3.22
Pd 0.0000 0.5009 0.5009  8 Cd 2.84-2.85
Pd 0.5000 0.5602 0.5602  8 Te 2.93-3.06, 4 Pd 3.22



Entry from Alexandria via LeMat-Bulk: YHgH3 after structural relaxation (PBE).

polymorph energy (0 for the lowest one) = 0 meV/atom
size of the total moment = 0.000 Bohr magnetons per cell
uncorrected energy = -3.55 eV/atom

a b c (Å): 4.2279 4.2279 4.2279
angles (deg): 90.00 90.00 90.00
With the nearest neighbours (Å) after each atom.
Fractional positions:
Y 0.0000 0.0000 0.0000  6 H 2.11
Hg 0.5000 0.5000 0.5000  12 H 2.99
H 0.0000 0.0000 0.5000  2 Y 2.11
H 0.0000 0.5000 0.0000  2 Y 2.11
H 0.5000 0.0000 0.0000  2 Y 2.11



Entry from Alexandria via LeMat-Bulk: Sm6Ga3Ru after structural relaxation (PBE).

size of the total moment = 0.000 Bohr magnetons per cell
uncorrected energy = -5.03 eV/atom
DFT formation energy = -0.36 eV/atom

a b c (Å): 8.8236 11.6155 5.1526
angles (deg): 90.00 90.00 90.00
With the nearest neighbours (Å) after each atom.
Fractional positions:
Sm 0.0029 0.2467 0.0000  1 Ru 2.87, 4 Ga 2.94-2.97
Sm 0.1562 0.0856 0.5000  2 Ru 3.09, 1 Ga 3.19, 1 Sm 3.40
Sm 0.1812 0.4231 0.5000  1 Ru 2.95, 2 Ga 3.16
Sm 0.3188 0.9231 0.0000  1 Ru 2.95, 2 Ga 3.16
Sm 0.3438 0.5856 0.0000  2 Ru 3.09, 1 Ga 3.19, 1 Sm 3.40
Sm 0.4971 0.7467 0.5000  1 Ru 2.87, 4 Ga 2.94-2.97
Sm 0.5029 0.2533 0.5000  1 Ru 2.87, 4 Ga 2.94-2.97
Sm 0.6562 0.4144 0.0000  2 Ru 3.09, 1 Ga 3.19, 1 Sm 3.40
Sm 0.6812 0.0769 0.0000  1 Ru 2.95, 2 Ga 3.16
Sm 0.8188 0.5769 0.5000  1 Ru 2.95, 2 Ga 3.16
Sm 0.8438 0.9144 0.5000  2 Ru 3.09, 1 Ga 3.19, 1 Sm 3.40
Sm 0.9971 0.7533 0.0000  1 Ru 2.87, 4 Ga 2.94-2.97
Ga 0.0000 0.5000 0.0000  8 Sm 2.94-3.19
Ga 0.1625 0.7399 0.5000  3 Sm 2.95-2.97
Ga 0.3375 0.2399 0.0000  3 Sm 2.95-2.97
Ga 0.5000 0.0000 0.5000  8 Sm 2.94-3.19
Ga 0.6625 0.7601 0.0000  3 Sm 2.95-2.97
Ga 0.8375 0.2601 0.5000  3 Sm 2.95-2.97
Ru 0.0000 0.0000 0.0000  8 Sm 2.87-3.09
Ru 0.5000 0.5000 0.5000  8 Sm 2.87-3.09



Entry from Alexandria via LeMat-Bulk: Sn3PtN after structural relaxation (PBE).

polymorph energy (0 for the lowest one) = 633 meV/atom
size of the total moment = 0.000 Bohr magnetons per cell
E_form (uncorrected) = 1065 meV per atom
uncorrected energy = -4.21 eV/atom

a b c (Å): 5.1561 5.1561 5.1561
angles (deg): 90.00 90.00 90.00
With the nearest neighbours (Å) after each atom.
Fractional positions:
Sn 0.0000 0.0000 0.5000  2 Pt 2.58
Sn 0.0000 0.5000 0.0000  2 Pt 2.58
Sn 0.5000 0.0000 0.0000  2 Pt 2.58
Pt 0.0000 0.0000 0.0000  6 Sn 2.58
N 0.5000 0.5000 0.5000  12 Sn 3.65



Entry from Alexandria via LeMat-Bulk: Li3MgIn2 after structural relaxation (PBE).

polymorph energy (0 for the lowest one) = 26 meV/atom
size of the total moment = 0.000 Bohr magnetons per cell
uncorrected energy = -2.33 eV/atom
DFT formation energy = -0.19 eV/atom

a b c (Å): 9.5714 9.5714 2.9673
angles (deg): 90.00 90.00 120.00
With the nearest neighbours (Å) after each atom.
Fractional positions:
Li 0.1624 0.3249 0.0000  4 Li 2.69-2.97, 1 Mg 2.83
Li 0.1624 0.8376 0.0000  4 Li 2.69-2.97, 1 Mg 2.83
Li 0.3249 0.1624 0.0000  4 Li 2.69-2.97, 1 Mg 2.83
Li 0.6751 0.8376 0.0000  4 Li 2.69-2.97, 1 Mg 2.83
Li 0.8376 0.1624 0.0000  4 Li 2.69-2.97, 1 Mg 2.83
Li 0.8376 0.6751 0.0000  4 Li 2.69-2.97, 1 Mg 2.83
Mg 0.3333 0.6667 0.0000  3 Li 2.83, 2 Mg 2.97, 6 In 3.14
Mg 0.6667 0.3333 0.0000  3 Li 2.83, 2 Mg 2.97, 6 In 3.14
In 0.0000 0.0000 0.5000  2 In 2.97, 12 Li 3.07
In 0.0000 0.5000 0.5000  2 In 2.97, 4 Mg 3.14, 8 Li 3.17
In 0.5000 0.0000 0.5000  2 In 2.97, 4 Mg 3.14, 8 Li 3.17
In 0.5000 0.5000 0.5000  2 In 2.97, 4 Mg 3.14, 8 Li 3.17



Entry from Alexandria via LeMat-Bulk: La3ZnN after structural relaxation (PBE).

polymorph energy (0 for the lowest one) = 67 meV/atom
size of the total moment = 0.000 Bohr magnetons per cell
E_form (uncorrected) = -629 meV per atom
uncorrected energy = -5.51 eV/atom

a b c (Å): 7.1154 6.0229 7.1192
angles (deg): 90.00 119.90 90.00
With the nearest neighbours (Å) after each atom.
Fractional positions:
La 0.0859 0.2500 0.3206  2 N 2.54
La 0.2344 0.2500 0.9132  2 N 2.54
La 0.3211 0.7500 0.2344  2 N 2.54
La 0.6789 0.2500 0.7656  2 N 2.54
La 0.7656 0.7500 0.0868  2 N 2.54
La 0.9141 0.7500 0.6794  2 N 2.54
Zn 0.3344 0.7500 0.6671  3 La 3.03-3.04
Zn 0.6656 0.2500 0.3329  3 La 3.03-3.04
N 0.0000 0.0000 0.0000  6 La 2.54
N 0.0000 0.5000 0.0000  6 La 2.54



V / Å³/f.u.: 68.8, 75.6, 264.0, 137.1, 117.7, 132.2